Record 1
Density functional theory data (GGA-PBE) for a relaxed Si3OsN crystal.

Calculated values
For the energy above the most stable polymorph in this dataset, the calculation gives 690 meV per atom. The value obtained for the magnetic moment is 1.00 μB per formula unit. The calculation puts the formation energy (no corrections) at 1.20 eV per atom.

abc: 4.580 4.580 4.580
angles: 90.00 90.00 90.00
Space group Pm-3m (No. 221)
Unique sites:
Si1 0.000 0.000 0.500
Os1 0.000 0.000 0.000
N1 0.500 0.500 0.500

***

Record 2
Density functional theory data (GGA-PBE) for a relaxed SiOsN3 crystal.

Calculated values
The value obtained for the magnetic moment is 0.00 μB per formula unit. The calculation puts the formation energy (no corrections) at 1.07 eV per atom.

abc: 3.551 3.551 3.551
angles: 90.00 90.00 90.00
Space group Pm-3m (No. 221)
Unique sites:
Si1 0.000 0.000 0.000
Os1 0.500 0.500 0.500
N1 0.000 0.000 0.500

***

Record 3
Density functional theory data (GGA-PBE) for a relaxed SiOsN2 crystal.

Calculated values
The value obtained for the magnetic moment is 0.00 μB per formula unit. The calculation puts the formation energy (no corrections) at 0.42 eV per atom.

abc: 2.8420 2.8420 18.4446
angles: 90.00 90.00 120.00
Space group R-3m (No. 166, hexagonal axes)
Unique sites:
Si1 0.0000 0.0000 0.0000
Os1 0.0000 0.0000 0.5000
N1 0.0000 0.0000 0.0966

***

Record 4
Density functional theory data (GGA-PBE) for a relaxed SiOsN3 crystal.

Calculated values
The value obtained for the magnetic moment is 0.00 μB per formula unit. The calculation puts the formation energy (no corrections) at 1.23 eV per atom.

abc: 3.863 3.863 3.863
angles: 90.00 90.00 90.00
Space group Pm-3m (No. 221)
Unique sites:
Si1 0.000 0.000 0.000
Os1 0.500 0.500 0.500
N1 0.000 0.500 0.500

***

Record 5
Density functional theory data (GGA-PBE) for a relaxed Si2OsN crystal.

Calculated values
The value obtained for the magnetic moment is 0.00 μB per formula unit. The calculation puts the formation energy (no corrections) at -0.02 eV per atom.

abc: 5.304 5.304 7.355
angles: 90.00 90.00 90.00
Space group I-42d (No. 122)
Unique sites:
Si1 0.174 0.750 0.125
Os1 0.000 0.000 0.500
N1 0.000 0.000 0.000

***

Record 6
Density functional theory data (GGA-PBE) for a relaxed SiOsN2 crystal.

Calculated values
The value obtained for the magnetic moment is 0.00 μB per formula unit. The calculation puts the formation energy (no corrections) at 0.00 eV per atom.

abc: 4.527 4.527 8.294
angles: 90.00 90.00 90.00
Space group I-42d (No. 122)
Unique sites:
Si1 0.000 0.000 0.000
Os1 0.000 0.000 0.500
N1 0.185 0.250 0.125

***

Record 7
Density functional theory data (GGA-PBE) for a relaxed SiTcOs2N crystal.

Calculated values
The value obtained for the magnetic moment is 0.00 μB per formula unit. The calculation puts the formation energy (no corrections) at 0.49 eV per atom.

abc: 4.002 4.002 4.062
angles: 90.00 90.00 90.00
Space group P4/mmm (No. 123)
Unique sites:
Si1 0.000 0.000 0.000
Tc1 0.500 0.500 0.000
Os1 0.000 0.500 0.500
N1 0.500 0.500 0.500

***

Record 8
Density functional theory data (GGA-PBE) for a relaxed SiTeOsN2 crystal.

Calculated values
For the energy above the most stable polymorph in this dataset, the calculation gives 0 meV per atom. The value obtained for the magnetic moment is 0.17 μB per formula unit. The calculation puts the formation energy (no corrections) at 0.89 eV per atom.

abc: 3.862 3.862 5.701
angles: 90.00 90.00 90.00
Space group P4/mmm (No. 123)
Unique sites:
Si1 0.000 0.000 0.000
Te1 0.500 0.500 0.000
Os1 0.500 0.500 0.500
N1 0.000 0.500 0.500

***

Record 9
Density functional theory data (GGA-PBE) for a relaxed SiTeOsN2 crystal.

Calculated values
For the energy above the most stable polymorph in this dataset, the calculation gives 384 meV per atom. The value obtained for the magnetic moment is 0.27 μB per formula unit. The calculation puts the formation energy (no corrections) at 1.28 eV per atom.

abc: 3.543 3.543 8.662
angles: 90.00 90.00 90.00
Space group P4/mmm (No. 123)
Unique sites:
Si1 0.000 0.000 0.000
Te1 0.000 0.000 0.500
Os1 0.500 0.500 0.500
N1 0.000 0.500 0.000

***

Record 10
Density functional theory data (GGA-PBE) for a relaxed ThSiOsN crystal.

Calculated values
The value obtained for the magnetic moment is 0.00 μB per formula unit. The calculation puts the formation energy (no corrections) at -1.01 eV per atom.

abc: 4.109 4.109 7.847
angles: 90.00 90.00 90.00
Space group P4/nmm (No. 129, origin choice 2)
Unique sites:
Th1 0.250 0.250 0.178
Si1 0.250 0.250 0.654
Os1 0.250 0.750 0.500
N1 0.250 0.250 0.881

***

Record 11
Density functional theory data (GGA-PBE) for a relaxed Sm3Os5N12 crystal.

Calculated values
The value obtained for the magnetic moment is 0.00 μB per formula unit. The calculation puts the formation energy (no corrections) at -0.20 eV per atom.

abc: 12.826 12.826 12.826
angles: 90.00 90.00 90.00
Space group Ia-3d (No. 230)
Unique sites:
Sm1 0.000 0.250 0.125
Os1 0.000 0.000 0.000
Os2 0.000 0.250 0.375
N1 0.032 0.045 0.649

***

Record 12
Density functional theory data (GGA-PBE) for a relaxed SrSm2OsN4 crystal.

Calculated values
The value obtained for the magnetic moment is 0.00 μB per formula unit. The calculation puts the formation energy (no corrections) at -0.76 eV per atom.

abc: 3.550 12.215 12.356
angles: 90.00 90.00 90.00
Space group Cmcm (No. 63)
Unique sites:
Sr1 0.000 0.069 0.250
Sm1 0.000 0.370 0.042
Os1 0.000 0.189 0.750
N1 0.000 0.000 0.000
N2 0.000 0.259 0.613
N3 0.000 0.393 0.250

***

Please write out number 12 again, unchanged.
Density functional theory data (GGA-PBE) for a relaxed SrSm2OsN4 crystal.

Calculated values
The value obtained for the magnetic moment is 0.00 μB per formula unit. The calculation puts the formation energy (no corrections) at -0.76 eV per atom.

abc: 3.550 12.215 12.356
angles: 90.00 90.00 90.00
Space group Cmcm (No. 63)
Unique sites:
Sr1 0.000 0.069 0.250
Sm1 0.000 0.370 0.042
Os1 0.000 0.189 0.750
N1 0.000 0.000 0.000
N2 0.000 0.259 0.613
N3 0.000 0.393 0.250